Computed, not measured: Sr4MgP after structural relaxation at the GGA-PBE level of DFT.

Cell: 7.0420 7.0420 7.0420 Å, 60.00 60.00 60.00°
Last column: nearest neighbours and their distance in Å.
Element x y z (fractional)
1 Sr 0.8773 0.3742 0.3742  6 Sr 3.50-3.54
2 Sr 0.3742 0.3742 0.3742  6 Sr 3.50-3.54
3 P 0.0000 0.0000 0.0000  12 Sr 4.13, 4 Mg 4.31
4 Sr 0.3742 0.8773 0.3742  6 Sr 3.50-3.54
5 Mg 0.7500 0.7500 0.7500  12 Sr 4.13, 4 P 4.31
6 Sr 0.3742 0.3742 0.8773  6 Sr 3.50-3.54

Calculated values
**E**: -1.764 eV per atom
**Crystal system**: cubic
**ΔE_f**: 0.5249 eV/atom
**Size of the total moment**: 0.1 Bohr magnetons per cell

---

Computed, not measured: La6DyHoEr2 after structural relaxation at the GGA-PBE level of DFT.

Cell: 9.7885 9.0163 9.0163 Å, 117.81 94.38 94.38°
Last column: nearest neighbours and their distance in Å.
Element x y z (fractional)
1 La 0.1201 0.7042 0.4914  3 La 3.33-3.47, 3 Er 3.33-3.50, 2 Ho 3.44-3.61
2 La 0.4480 0.2398 0.8907  5 La 3.47-3.80, 2 Er 3.50-3.86, 2 Dy 3.66-3.86
3 La 0.8799 0.2958 0.5086  3 La 3.33-3.47, 3 Er 3.33-3.50, 2 Ho 3.44-3.61
4 La 0.9480 0.8907 0.2398  5 La 3.47-3.80, 2 Er 3.50-3.86, 2 Dy 3.66-3.86
5 La 0.3066 0.9962 0.4383  3 La 3.33-3.70, 1 Ho 3.45, 1 Er 3.55, 1 Dy 3.62
6 La 0.1934 0.5617 0.0038  3 La 3.33-3.70, 1 Ho 3.45, 1 Er 3.55, 1 Dy 3.62
7 La 0.8066 0.4383 0.9962  3 La 3.33-3.70, 1 Ho 3.45, 1 Er 3.55, 1 Dy 3.62
8 Er 0.0461 0.2911 0.1975  5 La 3.33-3.55, 2 Dy 3.43, 1 Ho 3.55
9 La 0.6934 0.0038 0.5617  3 La 3.33-3.70, 1 Ho 3.45, 1 Er 3.55, 1 Dy 3.62
10 Ho 0.2500 0.4117 0.5883  6 La 3.44-3.61, 2 Er 3.55
11 Er 0.4539 0.8025 0.7089  5 La 3.33-3.55, 2 Dy 3.43, 1 Ho 3.55
12 La 0.6201 0.4914 0.7042  3 La 3.33-3.47, 3 Er 3.33-3.50, 2 Ho 3.44-3.61
13 Er 0.5461 0.1975 0.2911  5 La 3.33-3.55, 2 Dy 3.43, 1 Ho 3.55
14 Ho 0.7500 0.5883 0.4117  6 La 3.44-3.61, 2 Er 3.55
15 Dy 0.2500 0.9739 0.0261  4 Er 3.43, 4 La 3.62-3.66
16 La 0.0520 0.1093 0.7602  5 La 3.47-3.80, 2 Er 3.50-3.86, 2 Dy 3.66-3.86
17 Dy 0.7500 0.0261 0.9739  4 Er 3.43, 4 La 3.62-3.66
18 La 0.3799 0.5086 0.2958  3 La 3.33-3.47, 3 Er 3.33-3.50, 2 Ho 3.44-3.61
19 La 0.5520 0.7602 0.1093  5 La 3.47-3.80, 2 Er 3.50-3.86, 2 Dy 3.66-3.86
20 Er 0.9539 0.7089 0.8025  5 La 3.33-3.55, 2 Dy 3.43, 1 Ho 3.55

Calculated values
**E**: -4.678 eV per atom
**Crystal system**: monoclinic
**ΔE_f**: 0.1090 eV/atom
**Size of the total moment**: 0.0 Bohr magnetons per cell

---

Q: Which value of ΔE_f does entry 1 give?
A: 0.5249 eV/atom

---

Q: Which of these has the highest size of the total moment?
A: Sr4MgP

---

Q: Which of these has the lowest size of the total moment?
A: La6DyHoEr2